# 1
CoSb2RhPb: relaxed, PBE-GGA.

Space group: P4/mmm
N(E_F) in states/eV per cell: 3.23
Raw total energy in eV/cell: -23.77
Magnetization in μB per cell: 0.00
Formation energy (no corrections) in meV per atom: 527

Cell lengths 4.8421, 4.8421, 4.9519 Å; angles 90.00, 90.00, 90.00 degrees
Atoms (fractional coordinates):
Co: 0.0000 0.0000 0.0000
Sb: 0.0000 0.5000 0.0000
Sb: 0.5000 0.0000 0.0000
Rh: 0.5000 0.5000 0.5000
Pb: 0.0000 0.0000 0.5000



# 2
ScCoRhPb: relaxed, PBE-GGA.

Space group: F-43m
N(E_F) in states/eV per cell: 1.60
Raw total energy in eV/cell: -25.84
Magnetization in μB per cell: 1.07
ΔE_f in eV per atom: -0.3348

Cell lengths 4.5621, 4.5621, 4.5621 Å; angles 60.00, 60.00, 60.00 degrees
Atoms (fractional coordinates):
Sc: 0.0000 0.0000 0.0000
Co: 0.7500 0.7500 0.7500
Rh: 0.2500 0.2500 0.2500
Pb: 0.5000 0.5000 0.5000



# 3
Co2SnRhPb: relaxed, PBE-GGA.

Space group: P4/mmm
N(E_F) in states/eV per cell: 8.79
Raw total energy in eV/cell: -21.74
Magnetization in μB per cell: 3.55
ΔE_f in eV per atom: 1.5077

Cell lengths 4.6381, 4.6381, 5.6430 Å; angles 90.00, 90.00, 90.00 degrees
Atoms (fractional coordinates):
Co: 0.0000 0.5000 0.0000
Co: 0.5000 0.0000 0.0000
Sn: 0.0000 0.0000 0.0000
Rh: 0.5000 0.5000 0.5000
Pb: 0.0000 0.0000 0.5000



# 4
TaCoRhPb2: relaxed, PBE-GGA.

Space group: P4/mmm
N(E_F) in states/eV per cell: 4.87
Raw total energy in eV/cell: -27.10
Magnetization in μB per cell: 2.13
ΔE_f in eV per atom: 1.3243

Cell lengths 5.5007, 5.5007, 4.6712 Å; angles 90.00, 90.00, 90.00 degrees
Atoms (fractional coordinates):
Ta: 0.0000 0.0000 0.0000
Co: 0.5000 0.5000 0.5000
Rh: 0.0000 0.0000 0.5000
Pb: 0.0000 0.5000 0.0000
Pb: 0.5000 0.0000 0.0000



# 5
CoTeRhPb2: relaxed, PBE-GGA.

Space group: P4/mmm
N(E_F) in states/eV per cell: 2.90
Raw total energy in eV/cell: -21.52
Magnetization in μB per cell: 1.97
Formation energy (no corrections) in meV per atom: 700

Cell lengths 5.3138, 5.3138, 5.1159 Å; angles 90.00, 90.00, 90.00 degrees
Atoms (fractional coordinates):
Co: 0.0000 0.0000 0.0000
Te: 0.5000 0.5000 0.0000
Rh: 0.5000 0.5000 0.5000
Pb: 0.0000 0.5000 0.5000
Pb: 0.5000 0.0000 0.5000



# 6
TiCoRhPb2: relaxed, PBE-GGA.

Space group: P4/mmm
N(E_F) in states/eV per cell: 6.71
Raw total energy in eV/cell: -25.62
Magnetization in μB per cell: 2.18
ΔE_f in eV per atom: 0.8301

Cell lengths 5.2259, 5.2259, 4.6616 Å; angles 90.00, 90.00, 90.00 degrees
Atoms (fractional coordinates):
Ti: 0.0000 0.0000 0.0000
Co: 0.5000 0.5000 0.0000
Rh: 0.0000 0.0000 0.5000
Pb: 0.0000 0.5000 0.5000
Pb: 0.5000 0.0000 0.5000